## CeAgRh4 (GGA-PBE)

Data for a relaxed CeAgRh4 crystal.

M_tot, μB/cell: 0.0
Energy, eV/atom: -6.685
ΔE_f, eV per atom: -0.32

a b c (Å): 7.4669 7.4669 7.4669
angles (deg): 90.00 90.00 90.00
Space group F-43m (No. 216)
Inequivalent atoms, fractional coordinates:
Ce (0.0000, 0.0000, 0.0000) (multiplicity 4)
Ag (0.2500, 0.2500, 0.2500) (multiplicity 4)
Rh (0.1246, 0.1246, 0.6246) (multiplicity 16)

## Ce2AgRh (GGA-PBE)

Data for a relaxed Ce2AgRh crystal.

M_tot, μB/cell: 1.3
Energy, eV/atom: -5.904
ΔE_f, eV per atom: -0.39

a b c (Å): 3.6524 3.6524 6.9456
angles (deg): 90.00 90.00 90.00
Space group P4/mmm (No. 123)
Inequivalent atoms, fractional coordinates:
Ce (0.0000, 0.0000, 0.2157) (multiplicity 2)
Ag (0.5000, 0.5000, 0.5000) (multiplicity 1)
Rh (0.5000, 0.5000, 0.0000) (multiplicity 1)

## Ce3AgRh (GGA-PBE)

Data for a relaxed Ce3AgRh crystal.

M_tot, μB/cell: 3.1
Energy, eV/atom: -5.899
ΔE_f, eV per atom: -0.30

a b c (Å): 5.4570 5.6465 8.6243
angles (deg): 70.91 84.24 70.53
Space group P-1 (No. 2)
Inequivalent atoms, fractional coordinates:
Ce (0.1268, 0.2265, 0.1048) (multiplicity 2)
Ce (0.1736, 0.1389, 0.7992) (multiplicity 2)
Ce (0.3084, 0.7600, 0.5225) (multiplicity 2)
Ag (0.4267, 0.6024, 0.1378) (multiplicity 2)
Rh (0.1755, 0.3086, 0.4280) (multiplicity 2)

## CeSmAgRh (GGA-PBE)

Data for a relaxed CeSmAgRh crystal.

M_tot, μB/cell: 2.9
Energy, eV/atom: -5.610
ΔE_f, eV per atom: -0.40

a b c (Å): 7.1987 7.1987 7.1987
angles (deg): 90.00 90.00 90.00
Space group F-43m (No. 216)
Inequivalent atoms, fractional coordinates:
Ce (0.0000, 0.0000, 0.0000) (multiplicity 4)
Sm (0.0000, 0.0000, 0.5000) (multiplicity 4)
Ag (0.2500, 0.2500, 0.2500) (multiplicity 4)
Rh (0.2500, 0.2500, 0.7500) (multiplicity 4)

## TbCeAgRh (GGA-PBE)

Data for a relaxed TbCeAgRh crystal.

M_tot, μB/cell: 2.5
Energy, eV/atom: -5.622
ΔE_f, eV per atom: -0.43

a b c (Å): 7.1443 7.1443 7.1443
angles (deg): 90.00 90.00 90.00
Space group F-43m (No. 216)
Inequivalent atoms, fractional coordinates:
Tb (0.0000, 0.0000, 0.0000) (multiplicity 4)
Ce (0.0000, 0.0000, 0.5000) (multiplicity 4)
Ag (0.2500, 0.2500, 0.2500) (multiplicity 4)
Rh (0.2500, 0.2500, 0.7500) (multiplicity 4)

## CeTh2AgRh5 (GGA-PBE)

Data for a relaxed CeTh2AgRh5 crystal.

M_tot, μB/cell: 1.2
Energy, eV/atom: -7.033
ΔE_f, eV per atom: -0.32

a b c (Å): 8.4048 8.4048 10.9502
angles (deg): 90.00 90.00 90.00
Space group I4/mcm (No. 140)
Inequivalent atoms, fractional coordinates:
Ce (0.0000, 0.0000, 0.2500) (multiplicity 4)
Th (0.1382, 0.3618, 0.0000) (multiplicity 8)
Ag (0.0000, 0.5000, 0.2500) (multiplicity 4)
Rh (0.0000, 0.0000, 0.0000) (multiplicity 4)
Rh (0.1946, 0.3054, 0.3620) (multiplicity 16)

## CeTlAgRh (GGA-PBE)

Data for a relaxed CeTlAgRh crystal.

M_tot, μB/cell: 1.5
Energy, eV/atom: -4.851
ΔE_f, eV per atom: -0.23

a b c (Å): 6.9920 6.9920 6.9920
angles (deg): 90.00 90.00 90.00
Space group F-43m (No. 216)
Inequivalent atoms, fractional coordinates:
Ce (0.0000, 0.0000, 0.0000) (multiplicity 4)
Tl (0.0000, 0.0000, 0.5000) (multiplicity 4)
Ag (0.2500, 0.2500, 0.2500) (multiplicity 4)
Rh (0.2500, 0.2500, 0.7500) (multiplicity 4)

## CeTmAgRh (GGA-PBE)

Data for a relaxed CeTmAgRh crystal.

M_tot, μB/cell: 2.1
Energy, eV/atom: -5.612
ΔE_f, eV per atom: -0.46

a b c (Å): 7.0879 7.0879 7.0879
angles (deg): 90.00 90.00 90.00
Space group F-43m (No. 216)
Inequivalent atoms, fractional coordinates:
Ce (0.0000, 0.0000, 0.0000) (multiplicity 4)
Tm (0.0000, 0.0000, 0.5000) (multiplicity 4)
Ag (0.2500, 0.2500, 0.2500) (multiplicity 4)
Rh (0.2500, 0.2500, 0.7500) (multiplicity 4)

## CeZrAgRh (GGA-PBE)

Data for a relaxed CeZrAgRh crystal.

M_tot, μB/cell: 3.1
Energy, eV/atom: -6.419
ΔE_f, eV per atom: -0.25

a b c (Å): 6.9653 6.9653 6.9653
angles (deg): 90.00 90.00 90.00
Space group F-43m (No. 216)
Inequivalent atoms, fractional coordinates:
Ce (0.0000, 0.0000, 0.0000) (multiplicity 4)
Zr (0.0000, 0.0000, 0.5000) (multiplicity 4)
Ag (0.2500, 0.2500, 0.7500) (multiplicity 4)
Rh (0.2500, 0.2500, 0.2500) (multiplicity 4)

## Ce3AgRu (GGA-PBE)

Data for a relaxed Ce3AgRu crystal.

M_tot, μB/cell: 1.6
Energy, eV/atom: -6.153
ΔE_f, eV per atom: -0.17

a b c (Å): 5.4640 5.5812 8.6051
angles (deg): 72.05 83.27 70.17
Space group P-1 (No. 2)
Inequivalent atoms, fractional coordinates:
Ce (0.1281, 0.3301, 0.4001) (multiplicity 2)
Ce (0.1691, 0.9498, 0.7091) (multiplicity 2)
Ce (0.3072, 0.2990, 0.9760) (multiplicity 2)
Ag (0.4266, 0.7377, 0.3629) (multiplicity 2)
Ru (0.1666, 0.7272, 0.0746) (multiplicity 2)

## Ce4AgRu (GGA-PBE)

Data for a relaxed Ce4AgRu crystal.

M_tot, μB/cell: 0.0
Energy, eV/atom: -6.065
ΔE_f, eV per atom: -0.09

a b c (Å): 6.5812 15.9153 5.2879
angles (deg): 90.00 90.00 90.00
Space group Cmcm (No. 63)
Inequivalent atoms, fractional coordinates:
Ce (0.2102, 0.2183, 0.2500) (multiplicity 8)
Ce (0.2149, 0.0961, 0.7500) (multiplicity 8)
Ag (0.0000, 0.4426, 0.7500) (multiplicity 4)
Ru (0.0000, 0.0577, 0.2500) (multiplicity 4)

## CeScAgRu (GGA-PBE)

Data for a relaxed CeScAgRu crystal.

M_tot, μB/cell: 1.6
Energy, eV/atom: -6.324
ΔE_f, eV per atom: -0.23

a b c (Å): 6.9139 6.9139 6.9139
angles (deg): 90.00 90.00 90.00
Space group F-43m (No. 216)
Inequivalent atoms, fractional coordinates:
Ce (0.0000, 0.0000, 0.0000) (multiplicity 4)
Sc (0.0000, 0.0000, 0.5000) (multiplicity 4)
Ag (0.2500, 0.2500, 0.7500) (multiplicity 4)
Ru (0.2500, 0.2500, 0.2500) (multiplicity 4)

## Ce2TlAgRu (GGA-PBE)

Data for a relaxed Ce2TlAgRu crystal.

M_tot, μB/cell: 1.2
Energy, eV/atom: -5.510
ΔE_f, eV per atom: -0.24

a b c (Å): 8.2536 3.8925 8.2620
angles (deg): 90.00 110.52 90.00
Space group P2_1/m (No. 11)
Inequivalent atoms, fractional coordinates:
Ce (0.1100, 0.2500, 0.3409) (multiplicity 2)
Ce (0.2840, 0.2500, 0.0044) (multiplicity 2)
Tl (0.3035, 0.7500, 0.6870) (multiplicity 2)
Ag (0.4473, 0.7500, 0.3620) (multiplicity 2)
Ru (0.1176, 0.7500, 0.1103) (multiplicity 2)

## CeTmAgRu (GGA-PBE)

Data for a relaxed CeTmAgRu crystal.

M_tot, μB/cell: 1.6
Energy, eV/atom: -5.886
ΔE_f, eV per atom: -0.25

a b c (Å): 7.0461 7.0461 7.0461
angles (deg): 90.00 90.00 90.00
Space group F-43m (No. 216)
Inequivalent atoms, fractional coordinates:
Ce (0.0000, 0.0000, 0.0000) (multiplicity 4)
Tm (0.0000, 0.0000, 0.5000) (multiplicity 4)
Ag (0.2500, 0.2500, 0.7500) (multiplicity 4)
Ru (0.2500, 0.2500, 0.2500) (multiplicity 4)

## CeAgS4 (GGA-PBE)

Data for a relaxed CeAgS4 crystal.

M_tot, μB/cell: 2.9
Energy, eV/atom: -4.936
Formation energy from raw total energies, eV per atom: -0.720

a b c (Å): 7.7174 7.4573 11.0914
angles (deg): 90.00 90.00 90.00
Space group Cmcm (No. 63)
Inequivalent atoms, fractional coordinates:
Ce (0.0000, 0.0008, 0.2500) (multiplicity 4)
Ag (0.0000, 0.4980, 0.7500) (multiplicity 4)
S (0.0000, 0.1345, 0.0003) (multiplicity 8)
S (0.2504, 0.2486, 0.7500) (multiplicity 8)

## Ce2AgS4 (GGA-PBE)

Data for a relaxed Ce2AgS4 crystal.

M_tot, μB/cell: 2.1
Energy, eV/atom: -5.876
Formation energy from raw total energies, eV per atom: -1.415

a b c (Å): 7.1171 10.8075 4.2078
angles (deg): 90.00 90.00 90.00
Space group Pbam (No. 55)
Inequivalent atoms, fractional coordinates:
Ce (0.1189, 0.1800, 0.0000) (multiplicity 4)
Ag (0.0000, 0.5000, 0.5000) (multiplicity 2)
S (0.1106, 0.7167, 0.5000) (multiplicity 4)
S (0.2243, 0.9399, 0.0000) (multiplicity 4)

## CeAg5S6 (GGA-PBE)

Data for a relaxed CeAg5S6 crystal.

M_tot, μB/cell: 0.0
Energy, eV/atom: -4.143
Formation energy from raw total energies, eV per atom: -0.397

a b c (Å): 6.7237 11.3074 6.6683
angles (deg): 90.00 109.66 90.00
Space group C2/m (No. 12)
Inequivalent atoms, fractional coordinates:
Ce (0.0000, 0.0000, 0.0000) (multiplicity 2)
Ag (0.0000, 0.1540, 0.5000) (multiplicity 4)
Ag (0.0000, 0.3274, 0.0000) (multiplicity 4)
Ag (0.0000, 0.5000, 0.5000) (multiplicity 2)
S (0.2219, 0.5000, 0.2290) (multiplicity 4)
S (0.2340, 0.1701, 0.2656) (multiplicity 8)

## CeAg2S3 (GGA-PBE)

Data for a relaxed CeAg2S3 crystal.

M_tot, μB/cell: 0.8
Energy, eV/atom: -4.654
Formation energy from raw total energies, eV per atom: -0.651
E above lowest polymorph, kJ/mol of atoms: 24.78

a b c (Å): 8.3128 12.6170 5.1649
angles (deg): 90.00 90.00 90.00
Space group Cmcm (No. 63)
Inequivalent atoms, fractional coordinates:
Ce (0.0000, 0.2367, 0.2500) (multiplicity 4)
Ag (0.2200, 0.0000, 0.0000) (multiplicity 8)
S (0.0000, 0.1220, 0.7500) (multiplicity 4)
S (0.1891, 0.3386, 0.7500) (multiplicity 8)

## Ce6AgS12 (GGA-PBE)

Data for a relaxed Ce6AgS12 crystal.

M_tot, μB/cell: 4.8
Energy, eV/atom: -6.279
Formation energy from raw total energies, eV per atom: -1.648

a b c (Å): 12.2441 12.2441 11.0264
angles (deg): 90.00 90.00 120.00
Space group R-3 (No. 148, hexagonal axes)
Inequivalent atoms, fractional coordinates:
Ce (0.0530, 0.7853, 0.1532) (multiplicity 18)
Ag (0.0000, 0.0000, 0.5000) (multiplicity 3)
S (0.0369, 0.8170, 0.8965) (multiplicity 18)
S (0.0468, 0.8320, 0.3943) (multiplicity 18)

## CeAg7S6 (GGA-PBE)

Data for a relaxed CeAg7S6 crystal.

M_tot, μB/cell: 0.0
Energy, eV/atom: -3.980
Formation energy from raw total energies, eV per atom: -0.361

a b c (Å): 7.2707 7.2707 20.1294
angles (deg): 90.00 90.00 120.00
Space group R3 (No. 146, hexagonal axes)
Inequivalent atoms, fractional coordinates:
Ce (0.0000, 0.0000, 0.0000) (multiplicity 3)
Ag (0.0000, 0.0000, 0.3343) (multiplicity 3)
Ag (0.0035, 0.3279, 0.2182) (multiplicity 9)
Ag (0.1074, 0.6891, 0.4051) (multiplicity 9)
S (0.0124, 0.6695, 0.5993) (multiplicity 9)
S (0.0261, 0.3953, 0.7595) (multiplicity 9)

## CeAg3S4 (GGA-PBE)

Data for a relaxed CeAg3S4 crystal.

M_tot, μB/cell: 1.0
Energy, eV/atom: -4.453
Formation energy from raw total energies, eV per atom: -0.579

a b c (Å): 7.0642 13.7739 3.7923
angles (deg): 90.00 90.00 90.00
Space group Cmmm (No. 65)
Inequivalent atoms, fractional coordinates:
Ce (0.0000, 0.0000, 0.0000) (multiplicity 2)
Ag (0.0000, 0.2618, 0.5000) (multiplicity 4)
Ag (0.0000, 0.5000, 0.5000) (multiplicity 2)
S (0.2207, 0.1146, 0.5000) (multiplicity 8)

## CeAg2S3 (GGA-PBE)

Data for a relaxed CeAg2S3 crystal.

M_tot, μB/cell: 0.3
Energy, eV/atom: -4.911
Formation energy from raw total energies, eV per atom: -0.908
E above lowest polymorph, kJ/mol of atoms: 0.00

a b c (Å): 5.5057 11.9925 4.2249
angles (deg): 90.00 90.00 90.00
Space group Cmm2 (No. 35)
Inequivalent atoms, fractional coordinates:
Ce (0.0000, 0.0000, 0.0000) (multiplicity 2)
Ag (0.0000, 0.3646, 0.5018) (multiplicity 4)
S (0.0000, 0.1484, 0.5002) (multiplicity 4)
S (0.0000, 0.5000, 0.0010) (multiplicity 2)

## CeAg3S3 (GGA-PBE)

Data for a relaxed CeAg3S3 crystal.

M_tot, μB/cell: 5.9
Energy, eV/atom: -4.563
Formation energy from raw total energies, eV per atom: -0.725

a b c (Å): 7.3437 7.3437 20.3684
angles (deg): 90.00 90.00 120.00
Space group R-3 (No. 148, hexagonal axes)
Inequivalent atoms, fractional coordinates:
Ce (0.0000, 0.0000, 0.1665) (multiplicity 6)
Ag (0.0021, 0.6805, 0.6221) (multiplicity 18)
S (0.0016, 0.6521, 0.4232) (multiplicity 18)